# TlSbTe2Os, optimized geometry, DFT GGA-PBE
data_TlSbTe2Os
_chemical_formula_sum 'Tl1 Sb1 Te2 Os1'
_cell_length_a 5.5156
_cell_length_b 5.5156
_cell_length_c 5.0241
_cell_angle_alpha 90.00
_cell_angle_beta 90.00
_cell_angle_gamma 90.00
_symmetry_space_group_name_H-M 'P 4/m m m'
_symmetry_Int_Tables_number 123
_symmetry_space_group_name_Hall '-P 4 2'
loop_
_atom_site_label
_atom_site_type_symbol
_atom_site_fract_x
_atom_site_fract_y
_atom_site_fract_z
Tl1 Tl 0.0000 0.0000 0.0000
Sb1 Sb 0.5000 0.5000 0.0000
Te1 Te 0.0000 0.5000 0.5000
Os1 Os 0.5000 0.5000 0.5000
# * V: 30.6 Å³/atom
# * calculated density: 8.4 g/cm3
# * final energy: -4.312 eV/atom
# * formation energy without anion corrections: 0.488 eV/atom